No. 1
Below is a relaxed Al8V2Cu crystal, with properties calculated at the PBE level.

## Properties
The total energy is -4.87 eV/atom. As for the density: 3.64 g cm⁻³. The value obtained for the formation energy is -114 meV per atom.

Cell: 3.869 5.457 9.091 Å, 111.29 102.29 90.00°
Positions (direct):
Al (0.394, 0.537, 0.787)
Al (0.639, 0.997, 0.278)
Al (0.784, 0.666, 0.568)
Al (0.964, 0.234, 0.927)
Al (0.216, 0.334, 0.432)
Al (0.361, 0.003, 0.722)
Al (0.606, 0.463, 0.213)
Al (0.036, 0.766, 0.073)
V (0.801, 0.191, 0.602)
V (0.199, 0.809, 0.398)
Cu (0.500, 0.000, 0.000)

No. 2
Below is a relaxed CaZnPd crystal, with properties calculated at the PBE level.

## Properties
The total energy is -3.41 eV/atom. As for the density: 6.04 g cm⁻³. The value obtained for the formation energy is -588 meV per atom.

Cell: 5.354 5.464 5.464 Å, 62.89 60.66 60.66°
Positions (direct):
Ca (0.874, 0.376, 0.376)
Ca (0.126, 0.624, 0.624)
Zn (0.000, 0.000, 0.000)
Zn (0.500, 0.000, 0.000)
Pd (0.500, 0.500, 0.000)
Pd (0.500, 0.000, 0.500)

No. 3
Below is a relaxed TbTlN crystal, with properties calculated at the PBE level.

## Properties
The formation energy from raw total energies is -694 meV per atom. The total energy is -5.80 eV/atom. As for the density: 9.13 g cm⁻³.

Cell: 3.670 5.503 13.596 Å, 90.00 90.00 90.00°
Positions (direct):
Tl (0.250, 0.317, 0.569)
Tl (0.250, 0.183, 0.069)
Tl (0.750, 0.683, 0.431)
Tl (0.750, 0.817, 0.931)
N (0.250, 0.597, 0.704)
N (0.250, 0.903, 0.204)
N (0.750, 0.403, 0.296)
N (0.750, 0.097, 0.796)
Tb (0.250, 0.324, 0.824)
Tb (0.250, 0.176, 0.324)
Tb (0.750, 0.676, 0.176)
Tb (0.750, 0.824, 0.676)

No. 4
Below is a relaxed Sm5HPb4 crystal, with properties calculated at the PBE level.

## Properties
The total energy is -4.51 eV/atom. As for the density: 8.53 g cm⁻³.

Cell: 6.359 7.648 7.648 Å, 80.05 65.44 65.44°
Positions (direct):
Sm (0.901, 0.382, 0.813)
Sm (0.283, 0.813, 0.618)
Sm (0.715, 0.187, 0.382)
Sm (0.097, 0.618, 0.187)
Sm (0.441, 0.000, 0.000)
H (0.066, 0.000, 0.000)
Pb (0.410, 0.394, 0.790)
Pb (0.803, 0.790, 0.606)
Pb (0.200, 0.210, 0.394)
Pb (0.594, 0.606, 0.210)

No. 5
Below is a relaxed DyPu2P3 crystal, with properties calculated at the PBE level.

## Properties
The total energy is -9.56 eV/atom. As for the density: 9.13 g cm⁻³. The value obtained for the formation energy is -1308 meV per atom.

Cell: 4.000 5.646 6.914 Å, 114.10 106.81 90.00°
Site moments in Bohr magnetons follow the coordinates.
Positions (direct):
Dy (0.500, 0.000, 0.000)  0.00
Pu (0.165, 0.665, 0.331)  4.91
Pu (0.835, 0.335, 0.669)  4.91
P (0.500, 0.500, 0.000)  -0.13
P (0.170, 0.170, 0.341)  -0.12
P (0.830, 0.830, 0.659)  -0.12

No. 6
Below is a relaxed Ac6La3Pr crystal, with properties calculated at the PBE level.

## Properties
The total energy is -4.36 eV/atom. As for the density: 7.58 g cm⁻³. The value obtained for the formation energy is 60 meV per atom.

Cell: 3.862 14.253 15.531 Å, 100.36 90.00 90.00°
Positions (direct):
Ac (0.750, 0.497, 0.686)
Ac (0.250, 0.503, 0.314)
Ac (0.750, 0.811, 0.074)
Ac (0.250, 0.189, 0.926)
Ac (0.750, 0.346, 0.120)
Ac (0.250, 0.654, 0.880)
Ac (0.750, 0.733, 0.298)
Ac (0.250, 0.267, 0.702)
Ac (0.750, 0.123, 0.485)
Ac (0.250, 0.877, 0.515)
Ac (0.750, 0.782, 0.714)
Ac (0.250, 0.218, 0.286)
La (0.750, 0.422, 0.903)
La (0.250, 0.578, 0.097)
La (0.750, 0.626, 0.504)
La (0.250, 0.374, 0.496)
La (0.750, 0.070, 0.104)
La (0.250, 0.930, 0.896)
Pr (0.750, 0.040, 0.724)
Pr (0.250, 0.960, 0.276)

No. 7
Below is a relaxed MgZrTi2 crystal, with properties calculated at the PBE level.

## Properties
The total energy is -6.36 eV/atom. As for the density: 4.52 g cm⁻³. The value obtained for the formation energy is 127 meV per atom.

Cell: 4.251 4.274 4.274 Å, 90.00 90.00 90.00°
Positions (direct):
Mg (0.500, 0.000, 0.000)
Zr (0.500, 0.500, 0.500)
Ti (0.000, 0.000, 0.500)
Ti (0.000, 0.500, 0.000)

No. 8
Below is a relaxed AcAl6Cu crystal, with properties calculated at the PBE level.

## Properties
The total energy is -4.11 eV/atom. As for the density: 4.67 g cm⁻³. The value obtained for the formation energy is -276 meV per atom.

Cell: 4.428 4.428 8.202 Å, 90.00 90.00 90.00°
Positions (direct):
Ac (0.000, 0.000, 0.000)
Al (0.500, 0.000, 0.663)
Al (0.000, 0.500, 0.663)
Al (0.500, 0.500, 0.157)
Al (0.500, 0.500, 0.843)
Al (0.000, 0.500, 0.337)
Al (0.500, 0.000, 0.337)
Cu (0.000, 0.000, 0.500)